Density functional theory data (PBE-GGA) for a relaxed structure of P2SICl.

SG	P4/mmm (123)
energy relative to the elements, uncorrected	806	meV/atom
total moment	0.000	μB per atom
ΔE to the lowest computed polymorph	0	meV per atom

The structure in extended XYZ format:
```
5
Lattice="-4.074 -2.288 1.048 2.375 -4.155 0.159 0.831 0.653 4.654" Properties=species:S:1:pos:R:3 pbc="T T T"
I -0.434 -2.895 2.930
P 1.187 -2.078 0.079
P -2.037 -1.144 0.524
S 0.000 0.000 0.000
Cl 0.416 0.326 2.327
```

Density functional theory data (PBE-GGA) for a relaxed structure of Rb3Na6Hg5.

SG	Pmmn (59)
energy	-1.0491	eV/atom
total moment	0.000	μB per atom

The structure in extended XYZ format:
```
28
Lattice="5.381 0.000 0.000 0.000 11.746 0.000 0.000 0.000 15.810" Properties=species:S:1:pos:R:3 pbc="T T T"
Rb 0.000 8.824 11.086
Rb 2.690 2.922 3.181
Rb 2.690 2.922 12.629
Rb 0.000 8.639 0.000
Rb 2.690 3.107 7.905
Rb 0.000 8.824 4.724
Na 0.000 0.269 13.425
Na 2.690 11.478 10.290
Na 2.690 6.870 12.964
Na 2.690 4.855 0.000
Na 0.000 6.891 7.905
Na 0.000 4.876 10.750
Na 0.000 4.876 5.059
Na 2.690 0.539 0.000
Na 0.000 0.269 2.385
Na 2.690 6.870 2.845
Na 0.000 11.208 7.905
Na 2.690 11.478 5.520
Hg 0.000 5.316 14.006
Hg 0.000 1.599 10.335
Hg 0.000 2.642 0.000
Hg 2.690 6.430 9.709
Hg 2.690 9.104 7.905
Hg 0.000 5.316 1.804
Hg 2.690 6.430 6.101
Hg 0.000 1.599 5.475
Hg 2.690 10.148 13.379
Hg 2.690 10.148 2.430
```

Density functional theory data (PBE-GGA) for a relaxed structure of Co2SbOs.

SG	F-43m (216)
energy relative to the elements, uncorrected	345	meV/atom
total moment	0.740	μB per atom
ΔE to the lowest computed polymorph	59	meV per atom

The structure in extended XYZ format:
```
4
Lattice="-1.362 -3.510 -2.105 2.407 -3.579 -0.010 -1.291 -3.474 2.208" Properties=species:S:1:pos:R:3 pbc="T T T"
Co 0.000 0.000 0.000
Co -0.184 -7.922 0.069
Os -0.123 -5.281 0.046
Sb -0.061 -2.641 0.023
```

Density functional theory data (PBE-GGA) for a relaxed structure of Ce2Be4GeIr3.

SG	P-4m2 (115)
energy	-6.3351	eV/atom
total moment	0.000	μB per atom

The structure in extended XYZ format:
```
10
Lattice="-0.033 -0.991 -3.771 1.964 -3.262 0.840 -8.703 -4.889 1.360" Properties=species:S:1:pos:R:3 pbc="T T T"
Ce -2.153 -1.696 -1.552
Ce -5.584 -5.320 1.446
Be 0.966 -2.126 -1.466
Be 0.000 0.000 0.000
Be -5.523 -3.589 -1.025
Be -2.214 -3.427 0.919
Ge -3.386 -4.571 -0.786
Ir -4.351 -2.445 0.680
Ir -7.595 -4.753 -0.701
Ir -0.143 -2.263 0.596
```

Density functional theory data (PBE-GGA) for a relaxed structure of TlHg3Au.

SG	Pm-3m (221)
total moment	0.000	μB per atom
ΔE to the lowest computed polymorph	451	meV per atom

The structure in extended XYZ format:
```
5
Lattice="5.764 0.000 0.000 0.000 5.764 0.000 0.000 0.000 5.764" Properties=species:S:1:pos:R:3 pbc="T T T"
Tl 0.000 0.000 0.000
Au 2.882 2.882 2.882
Hg 0.000 2.882 0.000
Hg 0.000 0.000 2.882
Hg 2.882 0.000 0.000
```

Density functional theory data (PBE-GGA) for a relaxed structure of YBF2.

SG	R-3m (166)
energy relative to the elements, uncorrected	-1365	meV/atom
total moment	0.000	μB per atom
ΔE to the lowest computed polymorph	106	meV per atom

The structure in extended XYZ format:
```
4
Lattice="-3.075 2.219 -2.105 -4.153 0.245 1.225 -1.931 3.582 1.498" Properties=species:S:1:pos:R:3 pbc="T T T"
Y 0.000 0.000 0.000
B -4.579 3.023 0.309
F -7.215 4.763 0.487
F -1.944 1.283 0.131
```

Density functional theory data (PBE-GGA) for a relaxed structure of Ba5Ir.

SG	Cmmm (65)
total moment	0.000	μB per atom
ΔE to the lowest computed polymorph	184	meV per atom

The structure in extended XYZ format:
```
6
Lattice="2.228 -10.240 0.000 2.228 10.240 0.000 0.000 0.000 6.577" Properties=species:S:1:pos:R:3 pbc="T T T"
Ba 2.228 3.403 3.288
Ba 2.228 8.126 0.000
Ba 0.000 0.000 3.288
Ba 2.228 -8.126 0.000
Ba 2.228 -3.403 3.288
Ir 2.228 0.000 0.000
```

Density functional theory data (PBE-GGA) for a relaxed structure of CeNd12Dy3.

SG	P4/mmm (123)
energy	-4.7788	eV/atom
total moment	0.067	μB per atom

The structure in extended XYZ format:
```
16
Lattice="-0.222 0.319 -5.145 5.121 -0.573 -0.257 -2.345 -20.448 -1.166" Properties=species:S:1:pos:R:3 pbc="T T T"
Ce 0.000 0.000 0.000
Nd 2.450 -0.127 -2.701
Nd 1.860 -5.269 -2.994
Nd 1.277 -10.351 -3.284
Nd 0.694 -15.433 -3.574
Nd -0.402 -2.381 -2.717
Nd -0.990 -7.504 -3.010
Nd -1.577 -12.624 -3.302
Nd -2.165 -17.748 -3.594
Nd 2.269 -2.826 -0.273
Nd 1.682 -7.950 -0.565
Nd 1.094 -13.070 -0.857
Nd 0.507 -18.194 -1.150
Dy -0.586 -5.110 -0.291
Dy -1.173 -10.224 -0.583
Dy -1.759 -15.338 -0.875
```

Density functional theory data (PBE-GGA) for a relaxed structure of Tb5Nd3Ho2.

SG	C2/c (15)
total moment	0.000	μB per atom
ΔE to the lowest computed polymorph	0	meV per atom

The structure in extended XYZ format:
```
20
Lattice="-4.239 5.829 6.201 -1.527 -4.390 8.253 10.019 1.698 -4.621" Properties=species:S:1:pos:R:3 pbc="T T T"
Tb -1.505 -0.630 5.793
Tb 5.758 3.767 4.040
Tb 4.237 -2.317 4.015
Tb 2.947 2.814 3.013
Tb 0.017 5.454 5.818
Tb 1.307 0.322 6.820
Tb 2.762 3.540 6.874
Tb 1.491 -0.403 2.958
Tb 5.489 2.888 0.013
Tb -1.236 0.249 9.820
Nd 7.200 -1.314 5.097
Nd -2.946 4.450 4.735
Nd -1.313 2.624 7.282
Nd 5.566 0.513 2.550
Nd 1.249 -2.886 5.379
Nd 3.005 6.023 4.454
Ho 4.078 5.697 1.468
Ho 0.175 -2.561 8.365
Ho 4.289 0.769 5.462
Ho -0.036 2.368 4.371
```

Density functional theory data (PBE-GGA) for a relaxed structure of BeReSbTe2.

SG	P4/mmm (123)
energy relative to the elements, uncorrected	1173	meV/atom
total moment	0.000	μB per atom
ΔE to the lowest computed polymorph	0	meV per atom

The structure in extended XYZ format:
```
5
Lattice="-3.572 1.133 3.709 2.442 -3.260 3.347 2.959 3.914 1.654" Properties=species:S:1:pos:R:3 pbc="T T T"
Re 0.000 0.000 0.000
Te 1.221 -1.630 1.673
Te -1.786 0.566 1.854
Be 0.915 0.893 4.355
Sb 1.480 1.957 0.827
```

Density functional theory data (PBE-GGA) for a relaxed structure of Mn2AlP.

SG	I4/mmm (139)
total moment	1.001	μB per atom
ΔE to the lowest computed polymorph	166	meV per atom

The structure in extended XYZ format:
```
4
Lattice="4.389 0.014 0.000 1.253 4.207 0.000 -2.821 -2.111 2.618" Properties=species:S:1:pos:R:3 pbc="T T T"
P 0.626 2.103 1.309
Mn 0.000 0.000 0.000
Mn 2.821 2.111 0.000
Al 2.195 0.007 1.309
```

Density functional theory data (PBE-GGA) for a relaxed structure of TlBiPb3.

SG	Pm-3m (221)
total moment	0.000	μB per atom
ΔE to the lowest computed polymorph	528	meV per atom

The structure in extended XYZ format:
```
5
Lattice="-0.184 -0.413 6.068 6.014 -0.921 0.120 0.911 6.000 0.436" Properties=species:S:1:pos:R:3 pbc="T T T"
Pb 3.007 -0.461 0.060
Pb 0.455 3.000 0.218
Pb -0.092 -0.207 3.034
Tl 3.370 2.333 3.312
Bi 0.000 0.000 0.000
```

Density functional theory data (PBE-GGA) for a relaxed structure of YZn3Rh3.

SG	Pm-3n (223)
energy	-4.4060	eV/atom
total moment	0.000	μB per atom

The structure in extended XYZ format:
```
14
Lattice="6.667 0.000 0.000 0.000 6.667 0.000 0.000 0.000 6.667" Properties=species:S:1:pos:R:3 pbc="T T T"
Y 3.334 3.334 3.334
Y 0.000 0.000 0.000
Zn 0.000 1.667 3.334
Zn 0.000 5.001 3.334
Zn 3.334 0.000 5.001
Zn 5.001 3.334 0.000
Zn 3.334 0.000 1.667
Zn 1.667 3.334 0.000
Rh 1.667 0.000 3.334
Rh 0.000 3.334 1.667
Rh 3.334 5.001 0.000
Rh 5.001 0.000 3.334
Rh 0.000 3.334 5.001
Rh 3.334 1.667 0.000
```

Density functional theory data (PBE-GGA) for a relaxed structure of Li3Dy2UTe6.

SG	C2/m (12)
energy relative to the elements, uncorrected	-1096	meV/atom
total moment	0.248	μB per atom

The structure in extended XYZ format:
```
12
Lattice="-4.626 -3.647 4.702 7.203 -2.135 -0.609 0.902 6.384 3.826" Properties=species:S:1:pos:R:3 pbc="T T T"
Li 5.688 0.805 2.187
Li -2.209 -0.204 5.733
Li 1.739 0.301 3.960
Dy 3.260 -2.639 1.162
Dy -0.683 -3.143 2.932
U 0.000 0.000 0.000
Te 0.598 0.172 6.788
Te 2.162 -2.686 4.051
Te 2.881 0.429 1.132
Te 4.584 0.682 4.999
Te 1.317 3.288 3.869
Te -1.106 -0.080 2.921
```

Density functional theory data (PBE-GGA) for a relaxed structure of ZnCrMo2.

SG	Cmmm (65)
energy	-8.0188	eV/atom
total moment	0.000	μB per atom

The structure in extended XYZ format:
```
4
Lattice="-1.782 1.860 -0.641 0.758 -1.192 -2.248 -6.358 -5.775 0.918" Properties=species:S:1:pos:R:3 pbc="T T T"
Cr -5.281 -3.997 -0.756
Mo -6.287 -5.710 0.908
Mo -3.250 -2.952 0.469
Zn -2.102 -1.109 -1.215
```

Density functional theory data (PBE-GGA) for a relaxed structure of PmPuC.

SG	F-43m (216)
total moment	1.922	μB per atom
ΔE to the lowest computed polymorph	380	meV per atom

The structure in extended XYZ format:
```
3
Lattice="4.402 0.000 0.000 2.201 3.812 0.000 2.201 1.271 3.594" Properties=species:S:1:pos:R:3 pbc="T T T"
C 2.201 1.271 0.899
Pm 4.402 2.542 1.797
Pu 0.000 0.000 0.000
```

Density functional theory data (PBE-GGA) for a relaxed structure of Mg16Cd6Hg7.

SG	Fm-3m (225)
energy	-1.2593	eV/atom
total moment	0.000	μB per atom

The structure in extended XYZ format:
```
29
Lattice="-2.302 -9.466 0.219 5.011 -6.359 -5.423 6.005 -6.377 4.271" Properties=species:S:1:pos:R:3 pbc="T T T"
Mg 4.537 -16.220 -3.053
Mg 7.673 -19.551 -0.823
Mg 5.056 -16.229 2.010
Mg 8.876 -14.606 -0.937
Mg 1.040 -2.651 -0.112
Mg 4.177 -5.982 2.119
Mg 3.658 -5.973 -2.945
Mg -0.162 -7.596 0.003
Mg 1.937 -10.579 -3.315
Mg 5.734 -14.611 -0.615
Mg 2.566 -10.590 2.815
Mg 7.190 -8.625 -0.753
Mg 2.979 -7.591 -0.319
Mg 6.776 -11.624 2.381
Mg 6.148 -11.612 -3.749
Mg 1.524 -13.577 -0.181
Cd 4.608 -9.278 -2.372
Cd 4.105 -12.924 1.438
Cd 1.797 -10.473 -0.203
Cd 6.917 -11.730 -0.731
Cd 3.723 -12.917 -2.288
Cd 4.990 -9.285 1.354
Hg 0.000 0.000 0.000
Hg 1.851 -7.922 2.245
Hg 2.505 -3.180 -2.712
Hg 5.508 -6.368 -0.576
Hg -1.151 -4.733 0.109
Hg 3.002 -3.188 2.135
Hg 1.355 -7.913 -2.602
```

Density functional theory data (PBE-GGA) for a relaxed structure of CsOs3W.

SG	Pm-3m (221)
energy	-5.1041	eV/atom
total moment	0.000	μB per atom

The structure in extended XYZ format:
```
5
Lattice="4.796 0.000 0.000 0.000 4.796 0.000 0.000 0.000 4.796" Properties=species:S:1:pos:R:3 pbc="T T T"
Cs 0.000 0.000 0.000
Os 0.000 2.398 0.000
Os 0.000 0.000 2.398
Os 2.398 0.000 0.000
W 2.398 2.398 2.398
```

Density functional theory data (PBE-GGA) for a relaxed structure of SrLaAg2.

SG	F-43m (216)
energy	-3.1083	eV/atom
total moment	0.000	μB per atom

The structure in extended XYZ format:
```
4
Lattice="-2.269 -2.400 4.092 2.738 -0.825 4.413 -1.137 2.729 4.349" Properties=species:S:1:pos:R:3 pbc="T T T"
Ag 0.000 0.000 0.000
Ag -0.167 -0.124 3.214
La -0.335 -0.248 6.427
Sr -0.502 -0.372 9.641
```

Density functional theory data (PBE-GGA) for a relaxed structure of TmHPt.

SG	P-1 (2)
total moment	0.000	μB per atom
ΔE to the lowest computed polymorph	272	meV per atom

The structure in extended XYZ format:
```
6
Lattice="6.455 1.281 1.413 1.449 3.499 0.702 -4.336 -1.459 4.505" Properties=species:S:1:pos:R:3 pbc="T T T"
H 2.701 2.917 0.880
H 0.867 0.403 5.740
Tm 3.512 2.047 3.069
Tm 0.056 1.274 3.551
Pt 2.411 0.055 4.609
Pt 1.157 3.266 2.011
```

Density functional theory data (PBE-GGA) for a relaxed structure of Fe2CoIr.

SG	Pmm2 (25)
energy	-8.1794	eV/atom
total moment	1.474	μB per atom

The structure in extended XYZ format:
```
4
Lattice="3.553 0.000 0.000 0.000 2.644 0.005 0.000 2.636 5.192" Properties=species:S:1:pos:R:3 pbc="T T T"
Ir 0.000 2.640 2.587
Co 1.777 3.961 3.956
Fe 0.000 2.635 5.159
Fe 1.777 1.321 1.286
```

Density functional theory data (PBE-GGA) for a relaxed structure of MnZnFe2.

SG	P4mm (99)
energy	-6.7615	eV/atom
total moment	0.644	μB per atom

The structure in extended XYZ format:
```
4
Lattice="2.531 0.000 0.000 0.000 2.531 0.000 0.000 0.000 7.359" Properties=species:S:1:pos:R:3 pbc="T T T"
Zn 1.265 1.265 5.534
Mn 0.000 0.000 3.563
Fe 0.000 0.000 0.101
Fe 1.265 1.265 1.842
```

Density functional theory data (PBE-GGA) for a relaxed structure of PrTm2ThSb4.

SG	P2/m (10)
energy relative to the elements, uncorrected	-1069	meV/atom
total moment	0.000	μB per atom

The structure in extended XYZ format:
```
8
Lattice="4.445 0.000 0.000 0.000 7.646 -0.138 0.000 2.702 7.204" Properties=species:S:1:pos:R:3 pbc="T T T"
Pr 2.222 3.823 -0.069
Tm 0.000 2.702 7.204
Tm 2.222 1.351 3.602
Th 0.000 5.174 3.533
Sb 0.000 7.847 5.252
Sb 4.445 2.502 1.814
Sb 2.222 6.500 1.675
Sb 2.222 3.849 5.391
```